1 | First-principles (PBE-GGA) data for a geometry-optimized Nb2CuRe2 structure, as listed in Alexandria via LeMat-Bulk.

Lattice parameters (Å, degrees): 7.5847 7.5847 3.0323 90.00 90.00 90.00
Closest atoms and distances in Å follow each position.
Element x y z (fractional)
Re  0.1514  0.6514  0.5000  6 Nb 2.63-2.73
Re  0.6514  0.8486  0.5000  6 Nb 2.63-2.73
Re  0.8486  0.3486  0.5000  6 Nb 2.63-2.73
Re  0.3486  0.1514  0.5000  6 Nb 2.63-2.73
Nb  0.3520  0.8520  0.0000  6 Re 2.63-2.73, 2 Cu 2.90
Nb  0.8520  0.6480  0.0000  6 Re 2.63-2.73, 2 Cu 2.90
Nb  0.6480  0.1480  0.0000  6 Re 2.63-2.73, 2 Cu 2.90
Nb  0.1480  0.3520  0.0000  6 Re 2.63-2.73, 2 Cu 2.90
Cu  0.0000  0.0000  0.0000  4 Nb 2.90, 2 Cu 3.03
Cu  0.5000  0.5000  0.0000  4 Nb 2.90, 2 Cu 3.03

Properties
Its magnetic moment is 0.000 μB per formula unit. As for the density of states at the Fermi level: 0.877 states/eV/atom. As for the crystal system: tetragonal.

=====

2 | First-principles (PBE-GGA) data for a geometry-optimized Nb2CuRe2 structure, as listed in Alexandria via LeMat-Bulk.

Lattice parameters (Å, degrees): 7.3460 7.3460 3.1848 90.00 90.00 90.00
Closest atoms and distances in Å follow each position.
Element x y z (fractional)
Re  0.3603  0.8603  0.0000  6 Nb 2.62-2.72, 2 Cu 2.84, 1 Re 2.90
Re  0.8603  0.6397  0.0000  6 Nb 2.62-2.72, 2 Cu 2.84, 1 Re 2.90
Re  0.6397  0.1397  0.0000  6 Nb 2.62-2.72, 2 Cu 2.84, 1 Re 2.90
Re  0.1397  0.3603  0.0000  6 Nb 2.62-2.72, 2 Cu 2.84, 1 Re 2.90
Nb  0.1600  0.6600  0.5000  6 Re 2.62-2.72
Nb  0.6600  0.8400  0.5000  6 Re 2.62-2.72
Nb  0.8400  0.3400  0.5000  6 Re 2.62-2.72
Nb  0.3400  0.1600  0.5000  6 Re 2.62-2.72
Cu  0.0000  0.0000  0.0000  4 Re 2.84
Cu  0.5000  0.5000  0.0000  4 Re 2.84

Properties
Its magnetic moment is 0.000 μB per formula unit. As for the density of states at the Fermi level: 1.019 states/eV/atom. As for the crystal system: tetragonal.

=====

Which is the most stable structure? 2 is the most stable.

=====

1 | First-principles (PBE-GGA) data for a geometry-optimized Nb2CuRh2 structure, as listed in Alexandria via LeMat-Bulk.

Lattice parameters (Å, degrees): 7.4179 7.4179 3.0049 90.00 90.00 90.00
Closest atoms and distances in Å follow each position.
Element x y z (fractional)
Nb  0.1684  0.6684  0.5000  6 Rh 2.57-2.71
Nb  0.6684  0.8316  0.5000  6 Rh 2.57-2.71
Nb  0.8316  0.3316  0.5000  6 Rh 2.57-2.71
Nb  0.3316  0.1684  0.5000  6 Rh 2.57-2.71
Rh  0.3669  0.8669  0.0000  6 Nb 2.57-2.71, 1 Rh 2.79
Rh  0.8669  0.6331  0.0000  6 Nb 2.57-2.71, 1 Rh 2.79
Rh  0.6331  0.1331  0.0000  6 Nb 2.57-2.71, 1 Rh 2.79
Rh  0.1331  0.3669  0.0000  6 Nb 2.57-2.71, 1 Rh 2.79
Cu  0.0000  0.0000  0.0000  4 Rh 2.90, 2 Cu 3.00, 8 Nb 3.14
Cu  0.5000  0.5000  0.0000  4 Rh 2.90, 2 Cu 3.00, 8 Nb 3.14

Properties
Its magnetic moment is 0.000 μB per formula unit. As for the density of states at the Fermi level: 0.508 states/eV/atom. As for the crystal system: tetragonal.

=====

2 | First-principles (PBE-GGA) data for a geometry-optimized Nb2CuRh2 structure, as listed in Alexandria via LeMat-Bulk.

Lattice parameters (Å, degrees): 3.0057 4.8680 5.8572 93.84 75.13 72.02
Closest atoms and distances in Å follow each position.
Element x y z (fractional)
Nb  0.4150  0.3892  0.7808  5 Rh 2.69-2.76, 3 Cu 2.79-2.90, 4 Nb 2.94-3.01
Nb  0.5850  0.6108  0.2192  5 Rh 2.69-2.76, 3 Cu 2.79-2.90, 4 Nb 2.94-3.01
Cu  0.0000  0.0000  0.0000  4 Rh 2.65, 6 Nb 2.79-2.90
Rh  0.2126  0.1982  0.3765  2 Cu 2.65, 5 Nb 2.69-2.76, 3 Rh 2.90-2.92
Rh  0.7874  0.8018  0.6235  2 Cu 2.65, 5 Nb 2.69-2.76, 3 Rh 2.90-2.92

Properties
Its magnetic moment is 0.000 μB per formula unit. As for the density of states at the Fermi level: 0.757 states/eV/atom. As for the crystal system: monoclinic.

=====

Which is the most stable structure? 2 is the most stable.

=====

1 | First-principles (PBE-GGA) data for a geometry-optimized Nb2CuRh2 structure, as listed in Alexandria via LeMat-Bulk.

Lattice parameters (Å, degrees): 7.7159 7.7159 2.8429 90.00 90.00 90.00
Closest atoms and distances in Å follow each position.
Element x y z (fractional)
Nb  0.3435  0.8435  0.0000  6 Rh 2.65-2.69, 2 Nb 2.84, 2 Cu 2.91
Nb  0.8435  0.6565  0.0000  6 Rh 2.65-2.69, 2 Nb 2.84, 2 Cu 2.91
Nb  0.6565  0.1565  0.0000  6 Rh 2.65-2.69, 2 Nb 2.84, 2 Cu 2.91
Nb  0.1565  0.3435  0.0000  6 Rh 2.65-2.69, 2 Nb 2.84, 2 Cu 2.91
Rh  0.1384  0.6384  0.5000  6 Nb 2.65-2.69, 2 Rh 2.84
Rh  0.6384  0.8616  0.5000  6 Nb 2.65-2.69, 2 Rh 2.84
Rh  0.8616  0.3616  0.5000  6 Nb 2.65-2.69, 2 Rh 2.84
Rh  0.3616  0.1384  0.5000  6 Nb 2.65-2.69, 2 Rh 2.84
Cu  0.0000  0.0000  0.0000  2 Cu 2.84, 4 Nb 2.91
Cu  0.5000  0.5000  0.0000  2 Cu 2.84, 4 Nb 2.91

Properties
Its magnetic moment is 0.000 μB per formula unit. As for the density of states at the Fermi level: 0.653 states/eV/atom. As for the crystal system: tetragonal.

=====

2 | First-principles (PBE-GGA) data for a geometry-optimized Nb2CuRh2 structure, as listed in Alexandria via LeMat-Bulk.

Lattice parameters (Å, degrees): 4.5049 5.5566 6.6862 90.00 109.69 90.00
Closest atoms and distances in Å follow each position.
Element x y z (fractional)
Nb  0.4132  0.5772  0.8264  4 Rh 2.58-2.86, 2 Cu 2.66-2.69
Nb  0.8057  0.8947  0.6114  6 Rh 2.65-2.92, 3 Cu 2.68-2.77, 1 Nb 2.94
Nb  0.1943  0.3947  0.3886  6 Rh 2.65-2.92, 3 Cu 2.68-2.77, 1 Nb 2.94
Nb  0.5868  0.0772  0.1736  4 Rh 2.58-2.86, 2 Cu 2.66-2.69
Cu  0.3734  0.1064  0.7468  5 Rh 2.62-2.82, 5 Nb 2.66-2.77
Cu  0.6266  0.6064  0.2532  5 Rh 2.62-2.82, 5 Nb 2.66-2.77
Rh  0.0006  0.6848  0.0012  3 Nb 2.58-2.72, 3 Rh 2.64-2.78, 2 Cu 2.79
Rh  0.8066  0.3713  0.6131  3 Cu 2.62-2.82, 1 Rh 2.64, 6 Nb 2.65-2.91
Rh  0.1934  0.8713  0.3869  3 Cu 2.62-2.82, 1 Rh 2.64, 6 Nb 2.65-2.91
Rh  0.9994  0.1848  0.9988  3 Nb 2.58-2.72, 3 Rh 2.64-2.78, 2 Cu 2.79

Properties
Its magnetic moment is 0.000 μB per formula unit. As for the density of states at the Fermi level: 0.757 states/eV/atom. As for the crystal system: orthorhombic.

=====

Which is the most stable structure? 2 is the most stable.

=====

1 | First-principles (PBE-GGA) data for a geometry-optimized NbCuRu2 structure, as listed in Alexandria via LeMat-Bulk.

Lattice parameters (Å, degrees): 4.3569 4.3569 4.3569 60.00 60.00 60.00
Closest atoms and distances in Å follow each position.
Element x y z (fractional)
Ru  0.2500  0.2500  0.2500  4 Nb 2.67, 4 Cu 2.67
Ru  0.7500  0.7500  0.7500  4 Nb 2.67, 4 Cu 2.67
Nb  0.5000  0.5000  0.5000  8 Ru 2.67
Cu  0.0000  0.0000  0.0000  8 Ru 2.67

Properties
Its magnetic moment is 0.000 μB per formula unit. As for the density of states at the Fermi level: 1.372 states/eV/atom. As for the crystal system: cubic.

=====

2 | First-principles (PBE-GGA) data for a geometry-optimized NbCuRu2 structure, as listed in Alexandria via LeMat-Bulk.

Lattice parameters (Å, degrees): 3.8409 3.8409 9.1411 77.87 77.87 90.00
Closest atoms and distances in Å follow each position.
Element x y z (fractional)
Ru  0.5711  0.1250  0.2500  2 Ru 2.44, 2 Cu 2.50, 2 Nb 2.65
Ru  0.1789  0.6250  0.2500  2 Ru 2.44, 2 Cu 2.50, 2 Nb 2.65
Ru  0.3750  0.4289  0.7500  2 Ru 2.44, 2 Cu 2.50, 2 Nb 2.65
Ru  0.8750  0.8211  0.7500  2 Ru 2.44, 2 Cu 2.50, 2 Nb 2.65
Nb  0.0000  0.0000  0.0000  4 Ru 2.65, 4 Cu 2.72
Nb  0.7500  0.2500  0.5000  4 Ru 2.65, 4 Cu 2.72
Cu  0.5000  0.5000  0.0000  4 Ru 2.50, 4 Nb 2.72
Cu  0.2500  0.7500  0.5000  4 Ru 2.50, 4 Nb 2.72

Properties
Its magnetic moment is 0.000 μB per formula unit. As for the density of states at the Fermi level: 0.832 states/eV/atom. As for the crystal system: tetragonal.

=====

Which is the most stable structure? 1 is the most stable.

=====

1 | First-principles (PBE-GGA) data for a geometry-optimized NbCuRu2 structure, as listed in Alexandria via LeMat-Bulk.

Lattice parameters (Å, degrees): 3.1883 3.1883 5.7492 90.00 90.00 90.00
Closest atoms and distances in Å follow each position.
Element x y z (fractional)
Ru  0.0000  0.0000  0.7651  4 Cu 2.63, 1 Ru 2.70, 4 Nb 2.72
Ru  0.0000  0.0000  0.2349  4 Cu 2.63, 1 Ru 2.70, 4 Nb 2.72
Nb  0.5000  0.5000  0.5000  8 Ru 2.72, 2 Cu 2.87
Cu  0.5000  0.5000  0.0000  8 Ru 2.63, 2 Nb 2.87

Properties
Its magnetic moment is 0.000 μB per formula unit. As for the density of states at the Fermi level: 1.297 states/eV/atom. As for the crystal system: tetragonal.

=====

2 | First-principles (PBE-GGA) data for a geometry-optimized NbCuRu2 structure, as listed in Alexandria via LeMat-Bulk.

Lattice parameters (Å, degrees): 3.6789 3.9633 3.9633 90.00 90.00 90.00
Closest atoms and distances in Å follow each position.
Element x y z (fractional)
Ru  0.0000  0.0000  0.5000  4 Nb 2.70, 4 Cu 2.70, 4 Ru 2.80
Ru  0.0000  0.5000  0.0000  4 Nb 2.70, 4 Cu 2.70, 4 Ru 2.80
Nb  0.5000  0.5000  0.5000  8 Ru 2.70, 4 Cu 2.80
Cu  0.5000  0.0000  0.0000  8 Ru 2.70, 4 Nb 2.80

Properties
Its magnetic moment is 0.001 μB per formula unit. As for the density of states at the Fermi level: 1.146 states/eV/atom. As for the crystal system: tetragonal.

=====

Which is the most stable structure? 2 is the most stable.

=====

1 | First-principles (PBE-GGA) data for a geometry-optimized NbCu2Ru2 structure, as listed in Alexandria via LeMat-Bulk.

Lattice parameters (Å, degrees): 3.2899 3.2899 7.2803 76.94 76.94 90.00
Closest atoms and distances in Å follow each position.
Element x y z (fractional)
Ru  0.3983  0.3983  0.2034  4 Cu 2.63, 4 Nb 2.72, 1 Ru 2.81
Ru  0.6017  0.6017  0.7966  4 Cu 2.63, 4 Nb 2.72, 1 Ru 2.81
Nb  0.0000  0.0000  0.0000  8 Ru 2.72
Cu  0.7500  0.2500  0.5000  4 Cu 2.33
Cu  0.2500  0.7500  0.5000  4 Cu 2.33

Properties
Its magnetic moment is 0.000 μB per formula unit. As for the density of states at the Fermi level: 0.764 states/eV/atom. As for the crystal system: tetragonal.

=====

2 | First-principles (PBE-GGA) data for a geometry-optimized NbCu2Ru2 structure, as listed in Alexandria via LeMat-Bulk.

Lattice parameters (Å, degrees): 6.9019 6.9019 2.9657 90.00 90.00 90.00
Closest atoms and distances in Å follow each position.
Element x y z (fractional)
Ru  0.1722  0.6722  0.5000  6 Cu 2.47-2.55
Ru  0.6722  0.8278  0.5000  6 Cu 2.47-2.55
Ru  0.8278  0.3278  0.5000  6 Cu 2.47-2.55
Ru  0.3278  0.1722  0.5000  6 Cu 2.47-2.55
Nb  0.0000  0.0000  0.0000  4 Cu 2.73, 8 Ru 2.95, 2 Nb 2.97
Nb  0.5000  0.5000  0.0000  4 Cu 2.73, 8 Ru 2.95, 2 Nb 2.97
Cu  0.3750  0.8750  0.0000  1 Cu 2.44, 6 Ru 2.47-2.55, 2 Nb 2.73
Cu  0.8750  0.6250  0.0000  1 Cu 2.44, 6 Ru 2.47-2.55, 2 Nb 2.73
Cu  0.6250  0.1250  0.0000  1 Cu 2.44, 6 Ru 2.47-2.55, 2 Nb 2.73
Cu  0.1250  0.3750  0.0000  1 Cu 2.44, 6 Ru 2.47-2.55, 2 Nb 2.73

Properties
Its magnetic moment is 0.000 μB per formula unit. As for the density of states at the Fermi level: 1.068 states/eV/atom. As for the crystal system: tetragonal.

=====

Which is the most stable structure? 2 is the most stable.